No. 1
# DyZn2Ni

DyZn2Ni after structural relaxation (PBE, Alexandria via LeMat-Bulk).

```
data_DyZn2Ni
_chemical_formula_sum 'Dy4 Zn8 Ni4'
_symmetry_space_group_name_H-M 'F m -3 m'
_symmetry_Int_Tables_number 225
_symmetry_space_group_name_Hall '-F 4 2 3'
_cell_length_a 6.464
_cell_length_b 6.464
_cell_length_c 6.464
_cell_angle_alpha 90.00
_cell_angle_beta 90.00
_cell_angle_gamma 90.00
loop_
_atom_site_label
_atom_site_type_symbol
_atom_site_fract_x
_atom_site_fract_y
_atom_site_fract_z
Dy1 Dy 0.000 0.000 0.000
Zn1 Zn 0.250 0.250 0.250
Ni1 Ni 0.000 0.000 0.500
```

VASP energy, eV per atom: -3.4394
Spin magnetization, Bohr magnetons per cell: 0.004
ΔH_f (0 K), eV per atom: -0.21

---

No. 2
# Nd8N4O3

Nd8N4O3 after structural relaxation (PBE, Alexandria via LeMat-Bulk).

```
data_Nd8N4O3
_chemical_formula_sum 'Nd16 N8 O6'
_symmetry_space_group_name_H-M 'C 1 2/m 1'
_symmetry_Int_Tables_number 12
_symmetry_space_group_name_Hall '-C 2y'
_cell_length_a 10.237
_cell_length_b 10.277
_cell_length_c 7.247
_cell_angle_alpha 90.00
_cell_angle_beta 134.73
_cell_angle_gamma 90.00
loop_
_atom_site_label
_atom_site_type_symbol
_atom_site_fract_x
_atom_site_fract_y
_atom_site_fract_z
Nd1 Nd 0.000 0.244 0.000
Nd2 Nd 0.000 0.247 0.500
Nd3 Nd 0.240 0.000 0.484
Nd4 Nd 0.245 0.000 0.996
N1 N 0.000 0.000 0.000
N2 N 0.000 0.000 0.500
N3 N 0.250 0.250 0.000
O1 O 0.000 0.500 0.500
O2 O 0.250 0.250 0.500
```

VASP energy, eV per atom: -7.6231
Spin magnetization, Bohr magnetons per cell: 0.000
ΔE_f (raw), eV per atom: -1.869

---

No. 3
# ThMgSc2

ThMgSc2 after structural relaxation (PBE, Alexandria via LeMat-Bulk).

```
data_ThMgSc2
_chemical_formula_sum 'Th4 Mg4 Sc8'
_symmetry_space_group_name_H-M 'F m -3 m'
_symmetry_Int_Tables_number 225
_symmetry_space_group_name_Hall '-F 4 2 3'
_cell_length_a 7.477
_cell_length_b 7.477
_cell_length_c 7.477
_cell_angle_alpha 90.00
_cell_angle_beta 90.00
_cell_angle_gamma 90.00
loop_
_atom_site_label
_atom_site_type_symbol
_atom_site_fract_x
_atom_site_fract_y
_atom_site_fract_z
Th1 Th 0.000 0.000 0.000
Mg1 Mg 0.000 0.000 0.500
Sc1 Sc 0.250 0.250 0.250
```

VASP energy, eV per atom: -5.2641
Spin magnetization, Bohr magnetons per cell: 0.731
ΔH_f (0 K), eV per atom: 0.16
Polymorph energy (0 for the lowest one), meV/atom: 183

---

No. 4
# YHo3Pb2

YHo3Pb2 after structural relaxation (PBE, Alexandria via LeMat-Bulk).

```
data_YHo3Pb2
_chemical_formula_sum 'Y4 Ho12 Pb8'
_symmetry_space_group_name_H-M 'C 1 2/m 1'
_symmetry_Int_Tables_number 12
_symmetry_space_group_name_Hall '-C 2y'
_cell_length_a 18.103
_cell_length_b 4.544
_cell_length_c 9.616
_cell_angle_alpha 90.00
_cell_angle_beta 113.43
_cell_angle_gamma 90.00
loop_
_atom_site_label
_atom_site_type_symbol
_atom_site_fract_x
_atom_site_fract_y
_atom_site_fract_z
Y1 Y 0.114 0.000 0.120
Ho1 Ho 0.057 0.000 0.687
Ho2 Ho 0.146 0.500 0.487
Ho3 Ho 0.191 0.500 0.892
Pb1 Pb 0.005 0.500 0.844
Pb2 Pb 0.248 0.000 0.717
```

VASP energy, eV per atom: -4.9236
Spin magnetization, Bohr magnetons per cell: 4.078
ΔH_f (0 K), eV per atom: -0.32

---

No. 5
# IrRh5

IrRh5 after structural relaxation (PBE, Alexandria via LeMat-Bulk).

```
data_IrRh5
_chemical_formula_sum 'Ir2 Rh10'
_symmetry_space_group_name_H-M 'C m m m'
_symmetry_Int_Tables_number 65
_symmetry_space_group_name_Hall '-C 2 2'
_cell_length_a 3.846
_cell_length_b 11.534
_cell_length_c 3.848
_cell_angle_alpha 90.00
_cell_angle_beta 90.00
_cell_angle_gamma 90.00
loop_
_atom_site_label
_atom_site_type_symbol
_atom_site_fract_x
_atom_site_fract_y
_atom_site_fract_z
Ir1 Ir 0.000 0.000 0.000
Rh1 Rh 0.000 0.166 0.500
Rh2 Rh 0.000 0.335 0.000
Rh3 Rh 0.000 0.500 0.500
```

VASP energy, eV per atom: -7.6056
Spin magnetization, Bohr magnetons per cell: 0.000
ΔH_f (0 K), eV per atom: 0.00
Polymorph energy (0 for the lowest one), meV/atom: 0

---

No. 6
# Tb3Dy2Te6

Tb3Dy2Te6 after structural relaxation (PBE, Alexandria via LeMat-Bulk).

```
data_Tb3Dy2Te6
_chemical_formula_sum 'Tb9 Dy6 Te18'
_symmetry_space_group_name_H-M 'R -3 m'
_symmetry_Int_Tables_number 166
_symmetry_space_group_name_Hall '-R 3 2"'
_cell_length_a 4.3736
_cell_length_b 4.3736
_cell_length_c 64.5063
_cell_angle_alpha 90.00
_cell_angle_beta 90.00
_cell_angle_gamma 120.00
loop_
_atom_site_label
_atom_site_type_symbol
_atom_site_fract_x
_atom_site_fract_y
_atom_site_fract_z
Tb1 Tb 0.0000 0.0000 0.0000
Tb2 Tb 0.0000 0.0000 0.2789
Dy1 Dy 0.0000 0.0000 0.4473
Te1 Te 0.0000 0.0000 0.0833
Te2 Te 0.0000 0.0000 0.1946
Te3 Te 0.0000 0.0000 0.3608
```

VASP energy, eV per atom: -5.1380
Spin magnetization, Bohr magnetons per cell: 0.000
ΔE_f (raw), eV per atom: -1.325
Polymorph energy (0 for the lowest one), meV/atom: 79

---

No. 7
# Ru2WBr

Ru2WBr after structural relaxation (PBE, Alexandria via LeMat-Bulk).

```
data_Ru2WBr
_chemical_formula_sum 'Ru2 W1 Br1'
_symmetry_space_group_name_H-M 'P m m m'
_symmetry_Int_Tables_number 47
_symmetry_space_group_name_Hall '-P 2 2'
_cell_length_a 2.919
_cell_length_b 4.491
_cell_length_c 4.728
_cell_angle_alpha 90.00
_cell_angle_beta 90.00
_cell_angle_gamma 90.00
loop_
_atom_site_label
_atom_site_type_symbol
_atom_site_fract_x
_atom_site_fract_y
_atom_site_fract_z
Ru1 Ru 0.000 0.000 0.000
Ru2 Ru 0.500 0.000 0.500
W1 W 0.000 0.500 0.500
Br1 Br 0.500 0.500 0.000
```

VASP energy, eV per atom: -7.4001
Spin magnetization, Bohr magnetons per cell: 0.000
ΔE_f (raw), eV per atom: 0.894
Polymorph energy (0 for the lowest one), meV/atom: 459

---

No. 8
# Nd3Dy6Er

Nd3Dy6Er after structural relaxation (PBE, Alexandria via LeMat-Bulk).

```
data_Nd3Dy6Er
_chemical_formula_sum 'Nd12 Dy24 Er4'
_symmetry_space_group_name_H-M 'C m c 21'
_symmetry_Int_Tables_number 36
_symmetry_space_group_name_Hall 'C 2c -2'
_cell_length_a 10.942
_cell_length_b 18.916
_cell_length_c 6.363
_cell_angle_alpha 90.00
_cell_angle_beta 90.00
_cell_angle_gamma 90.00
loop_
_atom_site_label
_atom_site_type_symbol
_atom_site_fract_x
_atom_site_fract_y
_atom_site_fract_z
Nd1 Nd 0.000 0.112 0.000
Nd2 Nd 0.176 0.386 0.392
Dy1 Dy 0.000 0.228 0.578
Dy2 Dy 0.000 0.461 0.800
Dy3 Dy 0.168 0.045 0.478
Dy4 Dy 0.239 0.210 0.298
Er1 Er 0.000 0.305 0.058
```

VASP energy, eV per atom: -4.4992
Spin magnetization, Bohr magnetons per cell: 0.001
ΔH_f (0 K), eV per atom: 0.15
Polymorph energy (0 for the lowest one), meV/atom: 0

---

No. 9
# TbNd4Sm2

TbNd4Sm2 after structural relaxation (PBE, Alexandria via LeMat-Bulk).

```
data_TbNd4Sm2
_chemical_formula_sum 'Tb2 Nd8 Sm4'
_symmetry_space_group_name_H-M 'P 1 2/m 1'
_symmetry_Int_Tables_number 10
_symmetry_space_group_name_Hall '-P 2y'
_cell_length_a 7.059
_cell_length_b 10.508
_cell_length_c 7.075
_cell_angle_alpha 90.00
_cell_angle_beta 107.49
_cell_angle_gamma 90.00
loop_
_atom_site_label
_atom_site_type_symbol
_atom_site_fract_x
_atom_site_fract_y
_atom_site_fract_z
Tb1 Tb 0.000 0.000 0.000
Tb2 Tb 0.000 0.000 0.500
Nd1 Nd 0.190 0.284 0.231
Nd2 Nd 0.309 0.213 0.771
Sm1 Sm 0.000 0.500 0.500
Sm2 Sm 0.500 0.000 0.500
Sm3 Sm 0.500 0.500 0.000
Sm4 Sm 0.500 0.500 0.500
```

VASP energy, eV per atom: -4.5558
Spin magnetization, Bohr magnetons per cell: 0.000
ΔH_f (0 K), eV per atom: 0.18
Polymorph energy (0 for the lowest one), meV/atom: 169

---

No. 10
# Ho2RePbO8

Ho2RePbO8 after structural relaxation (PBE, Alexandria via LeMat-Bulk).

```
data_Ho2RePbO8
_chemical_formula_sum 'Ho4 Re2 Pb2 O16'
_symmetry_space_group_name_H-M 'C m m m'
_symmetry_Int_Tables_number 65
_symmetry_space_group_name_Hall '-C 2 2'
_cell_length_a 6.978
_cell_length_b 7.146
_cell_length_c 6.912
_cell_angle_alpha 90.00
_cell_angle_beta 90.00
_cell_angle_gamma 90.00
loop_
_atom_site_label
_atom_site_type_symbol
_atom_site_fract_x
_atom_site_fract_y
_atom_site_fract_z
Ho1 Ho 0.000 0.000 0.246
Re1 Re 0.000 0.500 0.000
Pb1 Pb 0.000 0.500 0.500
O1 O 0.000 0.316 0.202
O2 O 0.187 0.000 0.500
O3 O 0.226 0.000 0.000
```

VASP energy, eV per atom: -7.6731
Spin magnetization, Bohr magnetons per cell: 0.000
ΔE_f (raw), eV per atom: -2.258

---

No. 11
# LiDyScAl

LiDyScAl after structural relaxation (PBE, Alexandria via LeMat-Bulk).

```
data_LiDyScAl
_chemical_formula_sum 'Li4 Dy4 Sc4 Al4'
_symmetry_space_group_name_H-M 'F -4 3 m'
_symmetry_Int_Tables_number 216
_symmetry_space_group_name_Hall 'F -4 2 3'
_cell_length_a 7.068
_cell_length_b 7.068
_cell_length_c 7.068
_cell_angle_alpha 90.00
_cell_angle_beta 90.00
_cell_angle_gamma 90.00
loop_
_atom_site_label
_atom_site_type_symbol
_atom_site_fract_x
_atom_site_fract_y
_atom_site_fract_z
Li1 Li 0.000 0.000 0.000
Dy1 Dy 0.250 0.250 0.750
Sc1 Sc 0.250 0.250 0.250
Al1 Al 0.000 0.000 0.500
```

VASP energy, eV per atom: -4.3585
Spin magnetization, Bohr magnetons per cell: 0.003
ΔH_f (0 K), eV per atom: -0.21

---

No. 12
# Zr2TaIr

Zr2TaIr after structural relaxation (PBE, Alexandria via LeMat-Bulk).

```
data_Zr2TaIr
_chemical_formula_sum 'Zr8 Ta4 Ir4'
_symmetry_space_group_name_H-M 'F m -3 m'
_symmetry_Int_Tables_number 225
_symmetry_space_group_name_Hall '-F 4 2 3'
_cell_length_a 6.701
_cell_length_b 6.701
_cell_length_c 6.701
_cell_angle_alpha 90.00
_cell_angle_beta 90.00
_cell_angle_gamma 90.00
loop_
_atom_site_label
_atom_site_type_symbol
_atom_site_fract_x
_atom_site_fract_y
_atom_site_fract_z
Zr1 Zr 0.250 0.250 0.250
Ta1 Ta 0.000 0.000 0.000
Ir1 Ir 0.000 0.000 0.500
```

VASP energy, eV per atom: -9.7490
Spin magnetization, Bohr magnetons per cell: 0.000
ΔH_f (0 K), eV per atom: -0.30
Polymorph energy (0 for the lowest one), meV/atom: 90

---

> What is the VASP energy in the sixth record?

-5.1380 eV per atom

---

> Which value of spin magnetization does entry 7 give?

0.000 Bohr magnetons per cell

---

> Which value of spin magnetization does entry 6 give?

0.000 Bohr magnetons per cell